[1]
# PBE K3NaTh2Se6, relaxed
# - Crystal system: monoclinic
data_K3NaTh2Se6
_space_group_name_H-M_alt 'C 1 2/m 1'
_space_group_IT_number 12
_cell_length_a 19.877
_cell_length_b 4.373
_cell_length_c 9.217
_cell_angle_alpha 90.00
_cell_angle_beta 106.92
_cell_angle_gamma 90.00
loop_
_space_group_symop_operation_xyz
'x,y,z'
'-x,-y,-z'
'-x,y,-z'
'x,-y,z'
'x+1/2,y+1/2,z'
'-x+1/2,-y+1/2,-z'
'-x+1/2,y+1/2,-z'
'x+1/2,-y+1/2,z'
loop_
_atom_site_label
_atom_site_fract_x
_atom_site_fract_y
_atom_site_fract_z
K1 0.000 0.000 0.000
K2 0.157 0.500 0.331
Na1 0.000 0.000 0.500
Th1 0.161 0.500 0.822
Se1 0.016 0.500 0.745
Se2 0.170 0.000 0.618
Se3 0.178 0.000 0.054

=====

[2]
# PBE KNaTi2Se, relaxed
# - Crystal system: tetragonal
data_KNaTi2Se
_space_group_name_H-M_alt 'P 4/m m m'
_space_group_IT_number 123
_space_group_name_Hall '-P 4 2'
_cell_length_a 5.341
_cell_length_b 5.341
_cell_length_c 5.331
_cell_angle_alpha 90.00
_cell_angle_beta 90.00
_cell_angle_gamma 90.00
loop_
_atom_site_label
_atom_site_fract_x
_atom_site_fract_y
_atom_site_fract_z
K1 0.000 0.000 0.000
Na1 0.500 0.500 0.500
Ti1 0.000 0.500 0.500
Se1 0.500 0.500 0.000

=====

[3]
# PBE KNaTlSe2, relaxed
# - Crystal system: monoclinic
data_KNaTlSe2
_space_group_name_H-M_alt 'C 1 2/m 1'
_space_group_IT_number 12
_cell_length_a 14.645
_cell_length_b 5.314
_cell_length_c 9.288
_cell_angle_alpha 90.00
_cell_angle_beta 100.66
_cell_angle_gamma 90.00
loop_
_space_group_symop_operation_xyz
'x,y,z'
'-x,-y,-z'
'-x,y,-z'
'x,-y,z'
'x+1/2,y+1/2,z'
'-x+1/2,-y+1/2,-z'
'-x+1/2,y+1/2,-z'
'x+1/2,-y+1/2,z'
loop_
_atom_site_label
_atom_site_fract_x
_atom_site_fract_y
_atom_site_fract_z
K1 0.135 0.000 0.173
Na1 0.169 0.000 0.556
Tl1 0.061 0.500 0.716
Se1 0.095 0.000 0.815
Se2 0.131 0.500 0.425

=====

[4]
# PBE K2NaTl2Se4, relaxed
# - Crystal system: monoclinic
data_K2NaTl2Se4
_space_group_name_H-M_alt 'C 1 2/m 1'
_space_group_IT_number 12
_cell_length_a 16.451
_cell_length_b 4.770
_cell_length_c 7.599
_cell_angle_alpha 90.00
_cell_angle_beta 105.42
_cell_angle_gamma 90.00
loop_
_space_group_symop_operation_xyz
'x,y,z'
'-x,-y,-z'
'-x,y,-z'
'x,-y,z'
'x+1/2,y+1/2,z'
'-x+1/2,-y+1/2,-z'
'-x+1/2,y+1/2,-z'
'x+1/2,-y+1/2,z'
loop_
_atom_site_label
_atom_site_fract_x
_atom_site_fract_y
_atom_site_fract_z
K1 0.121 0.000 0.049
Na1 0.000 0.000 0.500
Tl1 0.159 0.500 0.519
Se1 0.020 0.500 0.240
Se2 0.213 0.000 0.704

=====

[5]
# PBE KNa2USe4, relaxed
# - Crystal system: monoclinic
data_KNa2USe4
_space_group_name_H-M_alt 'P 1 2/m 1'
_space_group_IT_number 10
_cell_length_a 7.310
_cell_length_b 4.267
_cell_length_c 7.828
_cell_angle_alpha 90.00
_cell_angle_beta 110.68
_cell_angle_gamma 90.00
loop_
_space_group_symop_operation_xyz
'x,y,z'
'-x,-y,-z'
'-x,y,-z'
'x,-y,z'
loop_
_atom_site_label
_atom_site_fract_x
_atom_site_fract_y
_atom_site_fract_z
K1 0.000 0.000 0.000
Na1 0.500 0.000 0.500
Na2 0.500 0.500 0.000
U1 0.000 0.500 0.500
Se1 0.230 0.000 0.717
Se2 0.230 0.500 0.300

=====

[6]
# PBE KNa2U3Se8, relaxed
# - Crystal system: trigonal
data_KNa2U3Se8
_space_group_name_H-M_alt 'R 3 m'
_space_group_IT_number 160
_space_group_name_Hall 'R 3 -2"'
_cell_length_a 8.5598
_cell_length_b 8.5598
_cell_length_c 22.0153
_cell_angle_alpha 90.00
_cell_angle_beta 90.00
_cell_angle_gamma 120.00
loop_
_atom_site_label
_atom_site_fract_x
_atom_site_fract_y
_atom_site_fract_z
K1 0.0000 0.0000 0.0000
Na1 0.0000 0.0000 0.3751
Na2 0.0000 0.0000 0.7526
U1 0.1674 0.3347 0.2064
Se1 0.0000 0.0000 0.1410
Se2 0.0000 0.0000 0.6098
Se3 0.0283 0.5142 0.1380
Se4 0.1878 0.3756 0.9410

=====

[7]
# PBE K2NaU2Se6, relaxed
# - Crystal system: monoclinic
data_K2NaU2Se6
_space_group_name_H-M_alt 'C 1 2/m 1'
_space_group_IT_number 12
_cell_length_a 7.246
_cell_length_b 12.759
_cell_length_c 8.068
_cell_angle_alpha 90.00
_cell_angle_beta 106.11
_cell_angle_gamma 90.00
loop_
_space_group_symop_operation_xyz
'x,y,z'
'-x,-y,-z'
'-x,y,-z'
'x,-y,z'
'x+1/2,y+1/2,z'
'-x+1/2,-y+1/2,-z'
'-x+1/2,y+1/2,-z'
'x+1/2,-y+1/2,z'
loop_
_atom_site_label
_atom_site_fract_x
_atom_site_fract_y
_atom_site_fract_z
K1 0.000 0.158 0.000
Na1 0.000 0.000 0.500
U1 0.000 0.335 0.500
Se1 0.200 0.500 0.702
Se2 0.241 0.182 0.700

=====

[8]
# PBE K3Na2USe6, relaxed
# - Crystal system: monoclinic
data_K3Na2USe6
_space_group_name_H-M_alt 'C 1 2/m 1'
_space_group_IT_number 12
_cell_length_a 7.532
_cell_length_b 13.026
_cell_length_c 7.932
_cell_angle_alpha 90.00
_cell_angle_beta 108.54
_cell_angle_gamma 90.00
loop_
_space_group_symop_operation_xyz
'x,y,z'
'-x,-y,-z'
'-x,y,-z'
'x,-y,z'
'x+1/2,y+1/2,z'
'-x+1/2,-y+1/2,-z'
'-x+1/2,y+1/2,-z'
'x+1/2,-y+1/2,z'
loop_
_atom_site_label
_atom_site_fract_x
_atom_site_fract_y
_atom_site_fract_z
K1 0.000 0.000 0.000
K2 0.000 0.324 0.000
Na1 0.000 0.167 0.500
U1 0.000 0.500 0.500
Se1 0.217 0.351 0.705
Se2 0.225 0.500 0.293

=====

[9]
# PBE K4NaU3Se8, relaxed
# - Crystal system: trigonal
data_K4NaU3Se8
_space_group_name_H-M_alt 'R -3 m'
_space_group_IT_number 166
_space_group_name_Hall '-R 3 2"'
_cell_length_a 8.5540
_cell_length_b 8.5540
_cell_length_c 22.8995
_cell_angle_alpha 90.00
_cell_angle_beta 90.00
_cell_angle_gamma 120.00
loop_
_atom_site_label
_atom_site_fract_x
_atom_site_fract_y
_atom_site_fract_z
K1 0.0000 0.0000 0.0000
K2 0.0000 0.5000 0.0000
Na1 0.0000 0.0000 0.5000
U1 0.0000 0.5000 0.5000
Se1 0.0000 0.0000 0.2355
Se2 0.0164 0.5082 0.7655

=====

[10]
# PBE K2Na2USe4, relaxed
# - Crystal system: monoclinic
data_K2Na2USe4
_space_group_name_H-M_alt 'C 1 2/m 1'
_space_group_IT_number 12
_cell_length_a 17.075
_cell_length_b 4.428
_cell_length_c 8.825
_cell_angle_alpha 90.00
_cell_angle_beta 121.03
_cell_angle_gamma 90.00
loop_
_space_group_symop_operation_xyz
'x,y,z'
'-x,-y,-z'
'-x,y,-z'
'x,-y,z'
'x+1/2,y+1/2,z'
'-x+1/2,-y+1/2,-z'
'-x+1/2,y+1/2,-z'
'x+1/2,-y+1/2,z'
loop_
_atom_site_label
_atom_site_fract_x
_atom_site_fract_y
_atom_site_fract_z
K1 0.162 0.000 0.288
Na1 0.168 0.500 0.894
U1 0.000 0.000 0.500
Se1 0.023 0.500 0.313
Se2 0.196 0.000 0.723

=====

[11]
# PBE KNaUSe3, relaxed
# - Crystal system: monoclinic
data_KNaUSe3
_space_group_name_H-M_alt 'P 1 21/m 1'
_space_group_IT_number 11
_cell_length_a 7.974
_cell_length_b 4.250
_cell_length_c 10.337
_cell_angle_alpha 90.00
_cell_angle_beta 93.11
_cell_angle_gamma 90.00
loop_
_space_group_symop_operation_xyz
'x,y,z'
'-x,-y,-z'
'-x,y+1/2,-z'
'x,-y+1/2,z'
loop_
_atom_site_label
_atom_site_fract_x
_atom_site_fract_y
_atom_site_fract_z
K1 0.077 0.250 0.167
Na1 0.242 0.750 0.497
U1 0.416 0.250 0.819
Se1 0.125 0.250 0.670
Se2 0.301 0.750 0.986
Se3 0.439 0.250 0.320

=====

[12]
# PBE K2Na3USe6, relaxed
# - Crystal system: monoclinic
data_K2Na3USe6
_space_group_name_H-M_alt 'C 1 2/m 1'
_space_group_IT_number 12
_cell_length_a 7.961
_cell_length_b 13.593
_cell_length_c 7.128
_cell_angle_alpha 90.00
_cell_angle_beta 114.20
_cell_angle_gamma 90.00
loop_
_space_group_symop_operation_xyz
'x,y,z'
'-x,-y,-z'
'-x,y,-z'
'x,-y,z'
'x+1/2,y+1/2,z'
'-x+1/2,-y+1/2,-z'
'-x+1/2,y+1/2,-z'
'x+1/2,-y+1/2,z'
loop_
_atom_site_label
_atom_site_fract_x
_atom_site_fract_y
_atom_site_fract_z
K1 0.000 0.165 0.000
Na1 0.000 0.000 0.500
Na2 0.000 0.321 0.500
U1 0.000 0.500 0.000
Se1 0.185 0.500 0.757
Se2 0.225 0.357 0.245

=====

| no. | Fermi-level density of states (states/eV per cell) | E_form (uncorrected) (kJ per mole of atoms) | raw total energy (eV per cell) |
| --- | --- | --- | --- |
| 1 | 0.000 | -150.2 | -118.07 |
| 2 | 6.261 | 99.7 | -16.53 |
| 3 | 2.363 | -76.0 | -62.77 |
| 4 | 4.700 | -67.7 | -57.00 |
| 5 | 5.570 | -111.2 | -38.18 |
| 6 | 47.714 | -111.2 | -244.85 |
| 7 | 19.034 | -120.3 | -121.43 |
| 8 | 25.371 | -104.8 | -102.33 |
| 9 | 35.185 | -122.6 | -263.34 |
| 10 | 8.911 | -110.4 | -80.71 |
| 11 | 12.848 | -118.2 | -63.02 |
| 12 | 22.165 | -101.4 | -101.92 |